The following is a PBE calculation of a relaxed structure of AcPr2YSe4, from Alexandria.

Unit cell a=7.3620 b=4.2115 c=7.5396 alpha=90.00 beta=108.67 gamma=90.00
Space group P2/m (No. 10)
Asymmetric unit:
Ac: 0.0000 0.0000 0.0000 x1
Pr: 0.5000 0.0000 0.5000 x1
Pr: 0.5000 0.5000 0.0000 x1
Y: 0.0000 0.5000 0.5000 x1
Se: 0.2416 0.0000 0.7342 x2
Se: 0.2518 0.5000 0.2644 x2

Calculated values
For the density of states at the Fermi level, the calculation gives 4.73 states/eV per cell. Its volume is 221.5 Å³/cell. The total energy comes out at -6.07 eV/atom.